Record 1
Entry from the Alexandria database: a crystal of Pt2PbBr relaxed with PBEsol (SCAN).

It has space group P2/m (No. 10), with a = 4.437 Å, b = 3.507 Å, c = 5.161 Å, α = 90.00°, β = 106.18° and γ = 90.00°. Symmetry generates all atoms from Pt at (0.000, 0.000, 0.000), Pt at (0.000, 0.500, 0.500), Pb at (0.500, 0.000, 0.500) and Br at (0.500, 0.500, 0.000).

Its density of states at the Fermi level is 1.68 states/eV per cell. The value obtained for the relative energy among the computed polymorphs is 18.8 kJ/mol of atoms. As for the spin magnetization: 0.00 μB per formula unit. The calculation puts the total energy at -58.451 eV per atom. For the raw formation energy, the calculation gives 1.82 eV per formula unit.

=====

Record 2
Entry from the Alexandria database: a crystal of Ba2MnSiPd relaxed with PBEsol (SCAN).

It has space group P4/mmm (No. 123), with a = 6.220 Å, b = 6.220 Å, c = 4.457 Å, α = 90.00°, β = 90.00° and γ = 90.00°. Symmetry generates all atoms from Ba at (0.000, 0.500, 0.000), Mn at (0.000, 0.000, 0.500), Si at (0.500, 0.500, 0.000) and Pd at (0.500, 0.500, 0.500).

Its density of states at the Fermi level is 2.75 states/eV per cell. As for the spin magnetization: 5.00 μB per formula unit. The calculation puts the total energy at -27.993 eV per atom. For the raw formation energy, the calculation gives 0.18 eV per formula unit.

=====

Record 3
Entry from the Alexandria database: a crystal of SrTcAs2 relaxed with PBEsol (SCAN).

It has space group P4mm (No. 99), with a = 3.348 Å, b = 3.348 Å, c = 7.122 Å, α = 90.00°, β = 90.00° and γ = 90.00°. Symmetry generates all atoms from Sr at (0.000, 0.000, 0.000), Tc at (0.500, 0.500, 0.345), As at (0.000, 0.000, 0.464) and As at (0.500, 0.500, 0.704).

Its density of states at the Fermi level is 1.83 states/eV per cell. The calculation puts the formation energy at -131 meV/atom. As for the spin magnetization: 0.00 μB per formula unit. The calculation puts the total energy at -24.560 eV per atom.

=====

Record 4
Entry from the Alexandria database: a crystal of K2CoNi relaxed with PBEsol (SCAN).

It has space group Imm2 (No. 44), with a = 3.891 Å, b = 5.530 Å, c = 9.723 Å, α = 90.00°, β = 90.00° and γ = 90.00°. Symmetry generates all atoms from K at (0.000, 0.000, 0.000), K at (0.000, 0.500, 0.192), Co at (0.000, 0.000, 0.391) and Ni at (0.000, 0.500, 0.795).

Its density of states at the Fermi level is 2.81 states/eV per cell. The value obtained for the relative energy among the computed polymorphs is 12.9 kJ/mol of atoms. The calculation puts the formation energy at 704 meV/atom. As for the spin magnetization: 2.66 μB per formula unit. The calculation puts the total energy at -11.830 eV per atom.